Crystalline LaY3Er12 at its relaxed geometry. Source: Alexandria via LeMat-Bulk, functional PBE.

## Properties
The value obtained for the calculated formation energy is 0.029 eV/atom. Its calculated volume is 31.3 Å³ per atom.

```
LaY3Er12
1.0
-1.788 -4.239 -1.954
-1.481 -1.469 4.542
-17.736 8.828 -2.926
La Y Er
1 3 12
Direct
0.000 0.000 0.000
0.000 0.000 0.251
0.000 0.000 0.500
0.000 0.000 0.749
0.500 0.500 0.000
0.500 0.500 0.252
0.500 0.500 0.500
0.500 0.500 0.748
0.500 0.000 0.128
0.500 0.000 0.376
0.500 0.000 0.624
0.500 0.000 0.872
0.000 0.500 0.128
0.000 0.500 0.376
0.000 0.500 0.624
0.000 0.500 0.872
```